# Sm2InGa3 | the Alexandria database | PBE | optimized geometry
# Spin magnetization   0.00 μB/cell
# DFT formation energy   -0.577 eV per atom
data_Sm2InGa3
_cell_length_a 8.438
_cell_length_b 8.761
_cell_length_c 15.240
_cell_angle_alpha 90.00
_cell_angle_beta 90.00
_cell_angle_gamma 90.00
_symmetry_space_group_name_H-M 'F m m m'
_symmetry_Int_Tables_number 69
_symmetry_space_group_name_Hall '-F 2 2'
loop_
_atom_site_label
_atom_site_type_symbol
_atom_site_fract_x
_atom_site_fract_y
_atom_site_fract_z
Sm1 Sm 0.248 0.000 0.000
Sm2 Sm 0.250 0.250 0.250
In1 In 0.000 0.000 0.334
Ga1 Ga 0.000 0.000 0.162
Ga2 Ga 0.000 0.243 0.081